A plane-wave DFT calculation with GGA-PBE was carried out for crystalline RbYTe3Au at its relaxed geometry.

Values from the calculation:
* spin magnetization: 0.0 μB/f.u.
* space group: Cmcm (63)
* crystal system: orthorhombic
* electronic total energy: -4.28 eV per atom

Cell and atoms, written as POSCAR:
```
RbYTe3Au
1.0
2.132 -8.488 0.000
2.132 8.488 0.000
0.000 0.000 11.271
Rb Y Te Au
2 2 6 2
Direct
0.244 0.756 0.750 Rb
0.756 0.244 0.250 Rb
0.000 0.000 0.000 Y
0.000 0.000 0.500 Y
0.076 0.924 0.250 Te
0.373 0.627 0.050 Te
0.373 0.627 0.450 Te
0.627 0.373 0.550 Te
0.627 0.373 0.950 Te
0.924 0.076 0.750 Te
0.468 0.532 0.250 Au
0.532 0.468 0.750 Au
```

***

A plane-wave DFT calculation with GGA-PBE was carried out for crystalline Y2Tl2Hg at its relaxed geometry.

Values from the calculation:
* spin magnetization: 0.8 μB/f.u.
* space group: I4/mmm (139)
* crystal system: tetragonal
* electronic total energy: -3.40 eV per atom

Cell and atoms, written as POSCAR:
```
Y2Tl2Hg
1.0
4.903 0.000 0.000
0.000 4.903 0.000
0.000 0.000 12.950
Y Tl Hg
4 4 2
Direct
0.000 0.500 0.250 Y
0.000 0.500 0.750 Y
0.500 0.000 0.250 Y
0.500 0.000 0.750 Y
0.000 0.000 0.104 Tl
0.000 0.000 0.896 Tl
0.500 0.500 0.396 Tl
0.500 0.500 0.604 Tl
0.000 0.000 0.500 Hg
0.500 0.500 0.000 Hg
```